(1)
First-principles (PBE-GGA) data for crystalline Pm8Tm6Pb at its relaxed geometry, as listed in the Alexandria database.

Cell lengths 6.481, 9.356, 9.356 Å; angles 120.00, 90.00, 90.00 degrees
Positions (direct):
Pm 0.821 0.043 0.274
Pm 0.821 0.726 0.769
Pm 0.821 0.231 0.957
Pm 0.179 0.957 0.726
Pm 0.179 0.274 0.231
Pm 0.179 0.769 0.043
Pm 0.825 0.333 0.667
Pm 0.175 0.667 0.333
Tm 0.668 0.648 0.099
Tm 0.668 0.901 0.549
Tm 0.668 0.451 0.352
Tm 0.332 0.352 0.901
Tm 0.332 0.099 0.451
Tm 0.332 0.549 0.648
Pb 0.500 0.000 0.000

Computed properties:
Magnetic moment ... 0.00 μB/f.u.
Calculated total energy ... -4.49 eV/atom

=====

(2)
First-principles (PBE-GGA) data for crystalline Pu2ThSc6 at its relaxed geometry, as listed in the Alexandria database.

Cell lengths 3.116, 9.249, 9.249 Å; angles 120.00, 90.00, 90.00 degrees
Site moments in Bohr magnetons follow the coordinates.
Positions (direct):
Pu 0.500 0.667 0.333  5.57
Pu 0.500 0.333 0.667  5.57
Th 0.000 0.000 0.000  -0.03
Sc 0.221 0.000 0.341  0.05
Sc 0.221 0.659 0.659  0.05
Sc 0.779 0.000 0.659  0.05
Sc 0.779 0.659 0.000  0.05
Sc 0.779 0.341 0.341  0.05
Sc 0.221 0.341 0.000  0.05

Computed properties:
Magnetic moment ... 12.19 μB/f.u.
Calculated total energy ... -8.04 eV/atom

=====

(3)
First-principles (PBE-GGA) data for crystalline Nd5Tl2Sn at its relaxed geometry, as listed in the Alexandria database.

Cell lengths 8.709, 8.709, 9.068 Å; angles 118.70, 118.70, 90.00 degrees
Positions (direct):
Nd 0.508 0.688 0.696
Nd 0.812 0.992 0.304
Nd 0.000 0.000 0.000
Nd 0.500 0.500 0.000
Nd 0.188 0.008 0.696
Nd 0.688 0.188 0.696
Nd 0.008 0.508 0.696
Nd 0.312 0.812 0.304
Nd 0.992 0.492 0.304
Nd 0.492 0.312 0.304
Tl 0.139 0.361 0.000
Tl 0.639 0.139 0.000
Tl 0.361 0.861 0.000
Tl 0.861 0.639 0.000
Sn 0.750 0.750 0.500
Sn 0.250 0.250 0.500

Computed properties:
Magnetic moment ... 0.00 μB/f.u.
Calculated total energy ... -4.49 eV/atom

=====

(4)
First-principles (PBE-GGA) data for crystalline TbLuScAg at its relaxed geometry, as listed in the Alexandria database.

Cell lengths 5.230, 5.230, 5.230 Å; angles 60.00, 60.00, 60.00 degrees
Positions (direct):
Sc 0.750 0.750 0.750
Lu 0.500 0.500 0.500
Tb 0.000 0.000 0.000
Ag 0.250 0.250 0.250

Computed properties:
Magnetic moment ... 0.00 μB/f.u.
Calculated total energy ... -4.55 eV/atom

=====

(5)
First-principles (PBE-GGA) data for crystalline LiSm2HPd6 at its relaxed geometry, as listed in the Alexandria database.

Cell lengths 6.102, 6.097, 6.361 Å; angles 58.73, 58.63, 88.98 degrees
Positions (direct):
Li 0.000 0.000 0.000
Sm 0.741 0.259 0.500
Sm 0.259 0.741 0.500
H 0.500 0.500 0.000
Pd 0.256 0.257 0.469
Pd 0.744 0.744 0.982
Pd 0.266 0.733 0.000
Pd 0.734 0.267 0.000
Pd 0.256 0.256 0.018
Pd 0.744 0.743 0.531

Computed properties:
Magnetic moment ... 0.00 μB/f.u.
Calculated total energy ... -5.20 eV/atom

=====

(6)
First-principles (PBE-GGA) data for crystalline Ce3ZrS4 at its relaxed geometry, as listed in the Alexandria database.

Cell lengths 6.836, 6.767, 7.887 Å; angles 90.00, 90.00, 109.72 degrees
Site moments in Bohr magnetons follow the coordinates.
Positions (direct):
S 0.994 0.243 0.631  -0.01
S 0.499 0.233 0.885  -0.01
S 0.494 0.243 0.369  -0.01
S 0.999 0.233 0.115  -0.01
S 0.001 0.767 0.885  -0.01
S 0.506 0.757 0.631  -0.01
S 0.501 0.767 0.115  -0.01
S 0.006 0.757 0.369  -0.01
Zr 0.750 0.000 0.867  -0.03
Zr 0.250 0.000 0.133  -0.03
Ce 0.750 0.000 0.373  0.12
Ce 0.250 0.000 0.627  0.12
Ce 0.750 0.500 0.627  0.45
Ce 0.750 0.500 0.125  0.34
Ce 0.250 0.500 0.373  0.45
Ce 0.250 0.500 0.875  0.34

Computed properties:
Magnetic moment ... 1.02 μB/f.u.
Calculated total energy ... -7.24 eV/atom